This record from the Alexandria database describes Ta2In at its PBEsol-relaxed geometry. The functional is meta-GGA SCAN.

It has space group P-3m1 (No. 164), with a = 4.7747 Å, b = 4.7747 Å, c = 2.8174 Å, α = 90.00°, β = 90.00° and γ = 120.00°. The distinct sites, in fractional coordinates, are Ta at (0.3333, 0.6667, 0.3463) and In at (0.0000, 0.0000, 0.0000).

The formation energy comes out at 0.159 eV per atom. The value obtained for the final energy is -166.075 eV per cell. As for the density of states at the Fermi level: 2.2 states/eV/cell. For the magnetization, the calculation gives 0.000 μB/atom.

---

This record from the Alexandria database describes Ta3In at its PBEsol-relaxed geometry. The functional is meta-GGA SCAN.

It has space group P4/mmm (No. 123), with a = 3.406 Å, b = 3.406 Å, c = 6.311 Å, α = 90.00°, β = 90.00° and γ = 90.00°. The distinct sites, in fractional coordinates, are Ta at (0.000, 0.000, 0.000), Ta at (0.500, 0.500, 0.231) and In at (0.000, 0.000, 0.500).

The formation energy comes out at 0.008 eV per atom. The value obtained for the final energy is -233.105 eV per cell. As for the density of states at the Fermi level: 1.9 states/eV/cell. For the magnetization, the calculation gives 0.000 μB/atom.

---

This record from the Alexandria database describes Ta2In at its PBEsol-relaxed geometry. The functional is meta-GGA SCAN.

It has space group I4_1/amd (No. 141, origin choice 2), with a = 3.662 Å, b = 3.662 Å, c = 18.391 Å, α = 90.00°, β = 90.00° and γ = 90.00°. The distinct sites, in fractional coordinates, are Ta at (0.000, 0.250, 0.304) and In at (0.000, 0.250, 0.875).

The formation energy comes out at 0.832 eV per atom. The value obtained for the final energy is -656.228 eV per cell. As for the density of states at the Fermi level: 6.6 states/eV/cell. For the magnetization, the calculation gives 0.000 μB/atom.

---

This record from the Alexandria database describes Ta3In at its PBEsol-relaxed geometry. The functional is meta-GGA SCAN.

It has space group Fm-3m (No. 225), with a = 6.628 Å, b = 6.628 Å, c = 6.628 Å, α = 90.00°, β = 90.00° and γ = 90.00°. The distinct sites, in fractional coordinates, are Ta at (0.000, 0.000, 0.000), Ta at (0.250, 0.250, 0.250) and In at (0.000, 0.000, 0.500).

The formation energy comes out at 0.158 eV per atom. The value obtained for the final energy is -930.012 eV per cell. As for the density of states at the Fermi level: 6.9 states/eV/cell. For the magnetization, the calculation gives 0.000 μB/atom.

---

This record from the Alexandria database describes Ta3In at its PBEsol-relaxed geometry. The functional is meta-GGA SCAN.

It has space group P-6m2 (No. 187), with a = 2.9419 Å, b = 2.9419 Å, c = 9.9703 Å, α = 90.00°, β = 90.00° and γ = 120.00°. The distinct sites, in fractional coordinates, are Ta at (0.0000, 0.0000, 0.0000), Ta at (0.3333, 0.6667, 0.2489) and In at (0.0000, 0.0000, 0.5000).

The formation energy comes out at 0.263 eV per atom. The value obtained for the final energy is -232.085 eV per cell. As for the density of states at the Fermi level: 3.9 states/eV/cell. For the magnetization, the calculation gives 0.000 μB/atom.

---

This record from the Alexandria database describes Ta3In at its PBEsol-relaxed geometry. The functional is meta-GGA SCAN.

It has space group Cmmm (No. 65), with a = 5.851 Å, b = 8.634 Å, c = 2.899 Å, α = 90.00°, β = 90.00° and γ = 90.00°. The distinct sites, in fractional coordinates, are Ta at (0.000, 0.000, 0.000), Ta at (0.250, 0.250, 0.500) and In at (0.000, 0.500, 0.000).

The formation energy comes out at 0.135 eV per atom. The value obtained for the final energy is -465.189 eV per cell. As for the density of states at the Fermi level: 6.8 states/eV/cell. For the magnetization, the calculation gives 0.000 μB/atom.

---

This record from the Alexandria database describes TaIn at its PBEsol-relaxed geometry. The functional is meta-GGA SCAN.

It has space group Cm (No. 8), with a = 11.336 Å, b = 2.920 Å, c = 7.234 Å, α = 90.00°, β = 103.50° and γ = 90.00°. The distinct sites, in fractional coordinates, are Ta at (0.000, 0.000, 0.000), Ta at (0.051, 0.000, 0.648), Ta at (0.218, 0.500, 0.982), In at (0.149, 0.500, 0.353), In at (0.324, 0.000, 0.700) and In at (0.387, 0.000, 0.302).

The formation energy comes out at 0.199 eV per atom. The value obtained for the final energy is -597.425 eV per cell. As for the density of states at the Fermi level: 6.2 states/eV/cell. For the magnetization, the calculation gives 0.000 μB/atom.

---

This record from the Alexandria database describes Ta2In at its PBEsol-relaxed geometry. The functional is meta-GGA SCAN.

It has space group P6_3/mmc (No. 194), with a = 4.7589 Å, b = 4.7589 Å, c = 5.6223 Å, α = 90.00°, β = 90.00° and γ = 120.00°. The distinct sites, in fractional coordinates, are Ta at (0.0000, 0.0000, 0.0000), Ta at (0.3333, 0.6667, 0.2500) and In at (0.3333, 0.6667, 0.7500).

The formation energy comes out at 0.206 eV per atom. The value obtained for the final energy is -331.868 eV per cell. As for the density of states at the Fermi level: 4.8 states/eV/cell. For the magnetization, the calculation gives 0.000 μB/atom.

---

This record from the Alexandria database describes Ta3In at its PBEsol-relaxed geometry. The functional is meta-GGA SCAN.

It has space group Cmmm (No. 65), with a = 3.401 Å, b = 4.660 Å, c = 9.278 Å, α = 90.00°, β = 90.00° and γ = 90.00°. The distinct sites, in fractional coordinates, are Ta at (0.000, 0.000, 0.000), Ta at (0.000, 0.500, 0.241) and In at (0.000, 0.000, 0.500).

The formation energy comes out at 0.061 eV per atom. The value obtained for the final energy is -465.783 eV per cell. As for the density of states at the Fermi level: 7.3 states/eV/cell. For the magnetization, the calculation gives 0.000 μB/atom.

---

This record from the Alexandria database describes TaInTc2 at its PBEsol-relaxed geometry. The functional is meta-GGA SCAN.

It has space group Cmmm (No. 65), with a = 3.171 Å, b = 4.725 Å, c = 8.786 Å, α = 90.00°, β = 90.00° and γ = 90.00°. The distinct sites, in fractional coordinates, are Ta at (0.000, 0.000, 0.000), In at (0.000, 0.000, 0.500) and Tc at (0.000, 0.500, 0.236).

The formation energy comes out at 0.067 eV per atom. The value obtained for the final energy is -339.647 eV per cell. As for the density of states at the Fermi level: 6.2 states/eV/cell. For the magnetization, the calculation gives 0.000 μB/atom.

---

This record from the Alexandria database describes TaInTc2 at its PBEsol-relaxed geometry. The functional is meta-GGA SCAN.

It has space group P4/mmm (No. 123), with a = 4.442 Å, b = 4.442 Å, c = 3.244 Å, α = 90.00°, β = 90.00° and γ = 90.00°. The distinct sites, in fractional coordinates, are Ta at (0.000, 0.000, 0.000), In at (0.500, 0.500, 0.000) and Tc at (0.000, 0.500, 0.500).

The formation energy comes out at -0.078 eV per atom. The value obtained for the final energy is -170.404 eV per cell. As for the density of states at the Fermi level: 3.2 states/eV/cell. For the magnetization, the calculation gives 0.240 μB/atom.

---

This record from the Alexandria database describes TaInTc2 at its PBEsol-relaxed geometry. The functional is meta-GGA SCAN.

It has space group R3m (No. 160, hexagonal axes), with a = 2.8555 Å, b = 2.8555 Å, c = 27.9065 Å, α = 90.00°, β = 90.00° and γ = 120.00°. The distinct sites, in fractional coordinates, are Ta at (0.0000, 0.0000, 0.0000), In at (0.0000, 0.0000, 0.7587), Tc at (0.0000, 0.0000, 0.2489) and Tc at (0.0000, 0.0000, 0.5109).

The formation energy comes out at 0.180 eV per atom. The value obtained for the final energy is -508.106 eV per cell. As for the density of states at the Fermi level: 5.3 states/eV/cell. For the magnetization, the calculation gives 0.000 μB/atom.

---

- final energy of number 8 (Ta2In)?
  -331.868 eV per cell

---

- What is the magnetization in the third record?
  0.000 μB/atom

---

- Which of these has the highest magnetization?
  number 11

---

- Which formula does entry 12 have?
  TaInTc2